## LiMg6SbO8 (PBE-GGA)

Data for a relaxed structure of LiMg6SbO8.

Cell lengths 4.3847, 4.3847, 8.8041 Å; angles 90.00, 90.00, 90.00 degrees
Closest atoms and distances in Å follow each position.
Atoms (fractional coordinates):
Li (0.0000, 0.0000, 0.0000)  6 O 2.14-2.19
Mg (0.5000, 0.5000, 0.0000)  6 O 2.19-2.23
Mg (0.5000, 0.5000, 0.5000)  6 O 2.17-2.19
Mg (0.0000, 0.5000, 0.2262)  5 O 1.99-2.21
Mg (0.0000, 0.5000, 0.7738)  5 O 1.99-2.21
Mg (0.5000, 0.0000, 0.2262)  5 O 1.99-2.21
Mg (0.5000, 0.0000, 0.7738)  5 O 1.99-2.21
Sb (0.0000, 0.0000, 0.5000)  6 O 2.19-2.26
O (0.0000, 0.0000, 0.2434)  1 Li 2.14, 4 Mg 2.20, 1 Sb 2.26
O (0.0000, 0.0000, 0.7566)  1 Li 2.14, 4 Mg 2.20, 1 Sb 2.26
O (0.5000, 0.5000, 0.2537)  6 Mg 2.17-2.23
O (0.5000, 0.5000, 0.7463)  6 Mg 2.17-2.23
O (0.0000, 0.5000, 0.0000)  4 Mg 1.99-2.19, 2 Li 2.19
O (0.0000, 0.5000, 0.5000)  2 Sb 2.19, 4 Mg 2.19-2.41
O (0.5000, 0.0000, 0.0000)  4 Mg 1.99-2.19, 2 Li 2.19
O (0.5000, 0.0000, 0.5000)  2 Sb 2.19, 4 Mg 2.19-2.41

- Distance to the lowest polymorph of the same formula: 40 meV per atom
- Uncorrected formation energy: -2273 meV per atom
- Crystal system: tetragonal
- N(E_F): 0.00 states/eV/cell
- Total magnetization: 0.00 μB/atom